Record 1
PuCd3Pd7 | PBE-GGA | relaxed

Cell: 9.0776 9.5495 5.3492 Å, 90.00 113.93 90.00°
Last column: nearest neighbours and their distance in Å.
Space group C2/m (No. 12)
One atom of each set of equivalent atoms:
Pu 0.0000 0.0000 0.0000 [2 per cell]  8 Pd 2.67-2.88
Cd 0.0000 0.2839 0.5000 [4 per cell]  7 Pd 2.71-2.78
Cd 0.0000 0.5000 0.0000 [2 per cell]  6 Pd 2.75
Pd 0.0000 0.0000 0.5000 [2 per cell]  2 Pu 2.67, 2 Cd 2.71, 2 Pd 2.73
Pd 0.1750 0.2579 0.1787 [8 per cell]  3 Cd 2.75-2.78, 4 Pd 2.76-2.97, 1 Pu 2.88
Pd 0.2102 0.5000 0.5420 [4 per cell]  5 Pd 2.73-2.95, 3 Cd 2.75-2.76, 1 Pu 2.77

Computed properties:
final energy: -111.1 eV per cell
calculated volume: 19.27 Å³ per atom
formation enthalpy at 0 K: -0.191 eV/atom

Record 2
Pu2PbAu6 | PBE-GGA | relaxed

Cell: 11.3654 6.5371 5.5608 Å, 90.00 90.11 90.00°
Last column: nearest neighbours and their distance in Å.
Space group C2/m (No. 12)
One atom of each set of equivalent atoms:
Pu 0.1666 0.0000 0.1640 [4 per cell]  12 Au 3.20-3.42
Pb 0.0000 0.5000 0.0000 [2 per cell]  6 Au 2.84
Au 0.0952 0.2151 0.6672 [8 per cell]  4 Au 2.81-2.85, 1 Pb 2.84
Au 0.1906 0.5000 0.3317 [4 per cell]  4 Au 2.81-2.85, 1 Pb 2.84

Computed properties:
final energy: -108.8 eV per cell
calculated volume: 22.95 Å³ per atom
formation enthalpy at 0 K: -0.265 eV/atom

Record 3
Ba3Pt2Cl | PBE-GGA | relaxed

Cell: 5.3768 17.2292 9.3847 Å, 90.00 99.71 90.00°
Last column: nearest neighbours and their distance in Å.
Space group C2/c (No. 15)
One atom of each set of equivalent atoms:
Ba 0.0000 0.1387 0.2500 [4 per cell]  4 Pt 3.15-3.20, 2 Cl 3.47
Ba 0.1715 0.3613 0.0793 [8 per cell]  2 Pt 2.97-3.03, 1 Cl 3.25
Pt 0.0000 0.2611 0.7500 [4 per cell]  2 Pt 2.90, 4 Ba 3.03-3.20
Pt 0.2500 0.2500 0.5000 [4 per cell]  2 Pt 2.90, 4 Ba 2.97-3.15
Cl 0.0000 0.4889 0.7500 [4 per cell]  4 Ba 3.25-3.47

Computed properties:
final energy: -103.4 eV per cell
calculated volume: 35.70 Å³ per atom
E_form (uncorrected): -1.0275 eV/atom

Record 4
SmEr2Ir2 | PBE-GGA | relaxed

Cell: 4.7982 4.7982 5.9922 Å, 90.00 90.00 120.00°
Last column: nearest neighbours and their distance in Å.
Space group P-3m1 (No. 164)
One atom of each set of equivalent atoms:
Sm 0.0000 0.0000 0.0000 [1 per cell]  6 Ir 2.97
Er 0.3333 0.6667 0.6614 [2 per cell]  5 Ir 2.90-3.09
Ir 0.3333 0.6667 0.1778 [2 per cell]  5 Er 2.90-3.09, 3 Sm 2.97

Computed properties:
final energy: -35.4 eV per cell
calculated volume: 23.90 Å³ per atom
formation enthalpy at 0 K: -0.759 eV/atom
polymorph energy (0 for the lowest one): 0 meV/atom

Record 5
La3AlZn2Pd9 | PBE-GGA | relaxed

Cell: 7.3325 7.3325 6.7511 Å, 90.00 90.00 120.00°
Last column: nearest neighbours and their distance in Å.
Space group P-3m1 (No. 164)
One atom of each set of equivalent atoms:
La 0.0000 0.0000 0.0000 [1 per cell]  6 Pd 3.06, 2 Al 3.38
La 0.3333 0.6667 0.6712 [2 per cell]  6 Pd 3.07-3.14, 2 Zn 3.38
Al 0.0000 0.0000 0.5000 [1 per cell]  6 Pd 2.36
Zn 0.3333 0.6667 0.1712 [2 per cell]  6 Pd 2.41-2.42
Pd 0.0000 0.5000 0.0000 [3 per cell]  2 Zn 2.41
Pd 0.1635 0.3270 0.3328 [6 per cell]  1 Al 2.36, 1 Zn 2.42

Computed properties:
final energy: -75.5 eV per cell
calculated volume: 20.96 Å³ per atom
formation enthalpy at 0 K: -0.511 eV/atom

Record 6
La3SmTl4S8 | PBE-GGA | relaxed

Cell: 8.4910 8.4910 22.3601 Å, 90.00 90.00 120.00°
Last column: nearest neighbours and their distance in Å.
Space group R-3m (No. 166, hexagonal axes)
One atom of each set of equivalent atoms:
La 0.0000 0.5000 0.0000 [9 per cell]  6 S 2.89-2.90
Sm 0.0000 0.0000 0.0000 [3 per cell]  6 S 2.84
Tl 0.0000 0.0000 0.5000 [3 per cell]  6 S 3.34
Tl 0.0000 0.5000 0.5000 [9 per cell]  6 S 3.28-3.29
S 0.0000 0.0000 0.2649 [6 per cell]  3 La 2.89
S 0.0064 0.5032 0.7345 [18 per cell]  1 Sm 2.84, 2 La 2.90

Computed properties:
final energy: -258.5 eV per cell
calculated volume: 29.09 Å³ per atom
E_form (uncorrected): -1.5114 eV/atom

Record 7
InPt2Br | PBE-GGA | relaxed

Cell: 8.9057 3.6367 7.1059 Å, 90.00 110.10 90.00°
Last column: nearest neighbours and their distance in Å.
Space group C2/m (No. 12)
One atom of each set of equivalent atoms:
In 0.0000 0.0000 0.0000 [2 per cell]  6 Pt 2.71-2.80
Pt 0.1648 0.5000 0.8646 [4 per cell]  1 Br 2.50, 2 Pt 2.70, 2 In 2.71
Br 0.0000 0.5000 0.5000 [2 per cell]  2 Pt 2.50

Computed properties:
final energy: -33.3 eV per cell
calculated volume: 27.02 Å³ per atom
E_form (uncorrected): -0.0380 eV/atom
polymorph energy (0 for the lowest one): 95 meV/atom

Record 8
Nb2VAgH | PBE-GGA | relaxed

Cell: 4.2701 4.2701 3.8158 Å, 90.00 90.00 90.00°
Last column: nearest neighbours and their distance in Å.
Space group P4/mmm (No. 123)
One atom of each set of equivalent atoms:
Nb 0.0000 0.5000 0.0000 [2 per cell]  2 H 2.14
V 0.0000 0.0000 0.5000 [1 per cell]  2 H 1.91
Ag 0.5000 0.5000 0.5000 [1 per cell]  8 Nb 2.86, 4 V 3.02
H 0.0000 0.0000 0.0000 [1 per cell]  2 V 1.91, 4 Nb 2.14

Computed properties:
final energy: -34.8 eV per cell
calculated volume: 13.92 Å³ per atom

Record 9
Tb3NdYTm | PBE-GGA | relaxed

Cell: 9.5703 3.6055 11.9830 Å, 90.00 110.31 90.00°
Last column: nearest neighbours and their distance in Å.
Space group P2_1/m (No. 11)
One atom of each set of equivalent atoms:
Tb 0.0673 0.2500 0.4019 [2 per cell]  3 Y 3.51-3.62, 6 Tb 3.54-3.61, 2 Nd 3.55, 1 Tm 3.57
Tb 0.1801 0.2500 0.8478 [2 per cell]  3 Tm 3.51-3.53, 2 Y 3.53, 7 Tb 3.56-3.61
Tb 0.4297 0.7500 0.0954 [2 per cell]  7 Tb 3.52-3.61, 1 Nd 3.54, 2 Tm 3.56, 2 Y 3.61
Nd 0.3719 0.7500 0.3716 [2 per cell]  3 Tb 3.54-3.55, 3 Y 3.58-3.60, 2 Tm 3.60, 4 Nd 3.61-3.67
Y 0.3177 0.7500 0.6545 [2 per cell]  7 Tb 3.51-3.62, 3 Nd 3.58-3.60, 2 Y 3.61
Tm 0.1222 0.2500 0.1218 [2 per cell]  6 Tb 3.51-3.57, 4 Tm 3.54-3.61, 2 Nd 3.60

Computed properties:
final energy: -59.2 eV per cell
calculated volume: 32.31 Å³ per atom
formation enthalpy at 0 K: 0.003 eV/atom

Record 10
GaSn2TeIr | PBE-GGA | relaxed

Cell: 5.2074 5.2074 4.8459 Å, 90.00 90.00 90.00°
Last column: nearest neighbours and their distance in Å.
Space group P4/mmm (No. 123)
One atom of each set of equivalent atoms:
Ga 0.0000 0.0000 0.0000 [1 per cell]  2 Ir 2.42
Sn 0.0000 0.5000 0.5000 [2 per cell]  2 Ir 2.60
Te 0.5000 0.5000 0.0000 [1 per cell]  8 Sn 3.56, 4 Ga 3.68
Ir 0.0000 0.0000 0.5000 [1 per cell]  2 Ga 2.42, 4 Sn 2.60

Computed properties:
final energy: -24.2 eV per cell
calculated volume: 26.28 Å³ per atom
E_form (uncorrected): -0.2266 eV/atom

Record 11
SmHoOs4 | PBE-GGA | relaxed

Cell: 7.6069 7.6069 7.6069 Å, 90.00 90.00 90.00°
Last column: nearest neighbours and their distance in Å.
Space group F-43m (No. 216)
One atom of each set of equivalent atoms:
Sm 0.0000 0.0000 0.0000 [4 per cell]  12 Os 3.15, 4 Ho 3.29
Ho 0.2500 0.2500 0.2500 [4 per cell]  12 Os 3.15, 4 Sm 3.29
Os 0.1249 0.1249 0.6249 [16 per cell]  6 Os 2.69

Computed properties:
final energy: -222.1 eV per cell
calculated volume: 18.34 Å³ per atom
formation enthalpy at 0 K: -0.219 eV/atom

Record 12
Ac4GeSb2As | PBE-GGA | relaxed

Cell: 8.1217 4.6657 8.1373 Å, 90.00 109.25 90.00°
Last column: nearest neighbours and their distance in Å.
Space group P2/m (No. 10)
One atom of each set of equivalent atoms:
Ac 0.2442 0.0000 0.2351 [2 per cell]  2 As 3.25, 1 Ge 3.26, 3 Sb 3.38
Ac 0.2533 0.5000 0.7635 [2 per cell]  1 As 3.25, 2 Ge 3.26, 3 Sb 3.37-3.38
Ge 0.5000 0.0000 0.0000 [1 per cell]  6 Ac 3.26
Sb 0.0000 0.0000 0.5000 [1 per cell]  6 Ac 3.37-3.38
Sb 0.5000 0.5000 0.5000 [1 per cell]  6 Ac 3.38
As 0.0000 0.5000 0.0000 [1 per cell]  6 Ac 3.25

Computed properties:
final energy: -42.7 eV per cell
calculated volume: 36.39 Å³ per atom
E_form (uncorrected): -1.0929 eV/atom